The following is a PBE calculation of a relaxed CeZrHgAu crystal, from the Alexandria database.

Output
- SG: No. 216
- Volume: 95.7 Å³/cell
- Formation enthalpy at 0 K: -277 meV/atom
- Density: 10.9 g/cm3
- Energy: -4.79 eV per atom

Cell lengths 5.1337, 5.1337, 5.1337 Å; angles 60.00, 60.00, 60.00 degrees
Closest atoms and distances in Å follow each position.
Atoms (fractional coordinates):
1 Zr 0.5000 0.5000 0.5000  4 Hg 3.14, 4 Au 3.14
2 Hg 0.2500 0.2500 0.2500  4 Ce 3.14, 4 Zr 3.14
3 Au 0.7500 0.7500 0.7500  4 Zr 3.14, 4 Ce 3.14
4 Ce 0.0000 0.0000 0.0000  4 Au 3.14, 4 Hg 3.14